First-principles (GGA-PBE) data for an optimized crystal structure of K2YNb, as listed in Alexandria.

Lattice parameters (Å, degrees): 10.121 10.121 7.775 49.39 49.39 90.00
Each line ends with the local moment (μB).
Atoms (fractional coordinates):
Nb  0.000  0.000  0.000  2.19
Nb  0.750  0.250  0.500  2.18
K  0.659  0.125  0.250  0.02
K  0.375  0.341  0.750  0.02
K  0.091  0.625  0.250  0.02
K  0.875  0.909  0.750  0.02
Y  0.500  0.500  0.000  -0.01
Y  0.250  0.750  0.500  -0.01

Results
- space group = I-42d (122)
- crystal system = tetragonal
- calculated volume (Å³/cell) = 311.3
- distance to the lowest polymorph of the same formula (eV/atom) = 0.000